Record 1
The following is a PBE calculation of a geometry-optimized Hf2Tl3PdS6 structure, from Alexandria via LeMat-Bulk.

```
Hf2Tl3PdS6
1.0
-5.422 3.000 -1.927
4.314 -2.096 -4.371
-3.255 -7.001 1.630
Pd S Tl Hf
1 6 3 2
Direct
0.000 0.000 0.000
0.935 0.583 0.805
0.723 0.723 0.177
0.065 0.417 0.195
0.277 0.277 0.823
0.417 0.065 0.195
0.583 0.935 0.805
0.841 0.159 0.500
0.159 0.841 0.500
0.500 0.500 0.500
0.331 0.669 0.000
0.669 0.331 0.000
```

Results
* DOS at the Fermi energy: 5.57 states/eV/cell
* ΔE_f (raw): -10.7 eV/f.u.
* E: -67.614 eV/cell

=====

Record 2
The following is a PBE calculation of a geometry-optimized HfTlPdS3 structure, from Alexandria via LeMat-Bulk.

```
HfTlPdS3
1.0
-1.069 -1.860 -3.018
7.852 0.935 -3.357
-0.456 -7.853 5.002
S Hf Tl Pd
6 2 2 2
Direct
0.250 0.539 0.861
0.250 0.128 0.870
0.750 0.872 0.130
0.750 0.461 0.139
0.750 0.256 0.553
0.250 0.744 0.447
0.250 0.680 0.159
0.750 0.320 0.841
0.250 0.211 0.244
0.750 0.789 0.756
0.250 0.108 0.593
0.750 0.892 0.407
```

Results
* DOS at the Fermi energy: 5.01 states/eV/cell
* ΔE_f (raw): -5.6 eV/f.u.
* E: -71.041 eV/cell

=====

Record 3
The following is a PBE calculation of a geometry-optimized Hf2Tl2PdS6 structure, from Alexandria via LeMat-Bulk.

```
Hf2Tl2PdS6
1.0
-4.720 2.386 -3.536
4.227 -3.973 -2.611
-4.292 -5.481 3.832
Tl S Pd Hf
2 6 1 2
Direct
0.839 0.161 0.000
0.161 0.839 0.000
0.583 0.927 0.303
0.073 0.417 0.697
0.734 0.734 0.670
0.266 0.266 0.330
0.927 0.583 0.303
0.417 0.073 0.697
0.000 0.000 0.500
0.674 0.326 0.500
0.326 0.674 0.500
```

Results
* DOS at the Fermi energy: 4.66 states/eV/cell
* ΔE_f (raw): -10.6 eV/f.u.
* E: -65.196 eV/cell

=====

Record 4
The following is a PBE calculation of a geometry-optimized HfPdW2S structure, from Alexandria via LeMat-Bulk.

```
HfPdW2S
1.0
-0.312 -3.642 3.047
3.319 2.203 2.972
-3.528 2.221 2.294
W Pd Hf S
2 1 1 1
Direct
0.000 0.000 0.500
0.500 0.000 0.000
0.000 0.000 0.000
0.000 0.500 0.000
0.500 0.500 0.500
```

Results
* DOS at the Fermi energy: 5.69 states/eV/cell
* ΔE_f (raw): 9.0 eV/f.u.
* E: -36.160 eV/cell

=====

Record 5
The following is a PBE calculation of a geometry-optimized HfSb2Pd structure, from Alexandria via LeMat-Bulk.

```
HfSb2Pd
1.0
3.278 0.000 0.000
1.639 2.839 0.000
1.639 0.946 9.854
Pd Sb Hf
1 2 1
Direct
0.000 0.000 0.000
0.087 0.087 0.738
0.913 0.913 0.262
0.500 0.500 0.500
```

Results
* DOS at the Fermi energy: 2.07 states/eV/cell
* ΔE_f (raw): -0.5 eV/f.u.
* E: -23.842 eV/cell

=====

Record 6
The following is a PBE calculation of a geometry-optimized Hf8SbPd2 structure, from Alexandria via LeMat-Bulk.

```
Hf8SbPd2
1.0
-4.648 0.695 1.472
-1.117 -5.356 -5.266
3.125 -2.109 6.592
Hf Pd Sb
8 2 1
Direct
0.307 0.602 0.602
0.102 0.317 0.090
0.500 0.232 0.768
0.898 0.910 0.683
0.500 0.768 0.232
0.102 0.090 0.317
0.693 0.398 0.398
0.898 0.683 0.910
0.000 0.308 0.692
0.000 0.692 0.308
0.500 0.000 0.000
```

Results
* DOS at the Fermi energy: 8.70 states/eV/cell
* ΔE_f (raw): -2.0 eV/f.u.
* E: -96.111 eV/cell